# MgCuW2

A PBEsol-optimized structure of MgCuW2 (meta-GGA SCAN, the Alexandria database).

total energy: -1.44839 hartree per atom
formation energy from the elements: 0.47 eV/atom

Cell lengths 4.402, 4.402, 4.402 Å; angles 60.00, 60.00, 60.00 degrees
Fractional positions:
Mg: 0.000 0.000 0.000
Cu: 0.750 0.750 0.750
W: 0.250 0.250 0.250
W: 0.500 0.500 0.500